Below is a relaxed CaTi2ICl crystal, with properties calculated at the PBE-GGA level.

Calculated values
ΔE_f (raw) = 0.441 eV/atom
E = -3.80 eV/atom

a = 5.063 Å, b = 5.063 Å, c = 6.684 Å
α = 90.00°, β = 90.00°, γ = 90.00°
Positions (direct):
Ca 0.000 0.000 0.000
Ti 0.000 0.500 0.500
Ti 0.500 0.000 0.500
I 0.500 0.500 0.500
Cl 0.500 0.500 0.000

---

Below is a relaxed CaTlICl2 crystal, with properties calculated at the PBE-GGA level.

Calculated values
ΔE_f (raw) = -1.602 eV/atom
E = -3.52 eV/atom

a = 5.336 Å, b = 5.336 Å, c = 6.339 Å
α = 90.00°, β = 90.00°, γ = 90.00°
Positions (direct):
Ca 0.000 0.000 0.000
Tl 0.500 0.500 0.500
I 0.000 0.000 0.500
Cl 0.000 0.500 0.000
Cl 0.500 0.000 0.000

---

Below is a relaxed CaYICl2 crystal, with properties calculated at the PBE-GGA level.

Calculated values
ΔE_f (raw) = -1.071 eV/atom
E = -3.81 eV/atom

a = 5.081 Å, b = 5.081 Å, c = 7.663 Å
α = 90.00°, β = 90.00°, γ = 90.00°
Positions (direct):
Ca 0.000 0.000 0.000
Y 0.000 0.000 0.500
I 0.500 0.500 0.500
Cl 0.000 0.500 0.000
Cl 0.500 0.000 0.000

---

Below is a relaxed CaInCl2 crystal, with properties calculated at the PBE-GGA level.

Calculated values
ΔE_f (raw) = -1.427 eV/atom
E = -3.54 eV/atom
Distance to the lowest polymorph of the same formula = 120 meV/atom

a = 3.415 Å, b = 3.415 Å, c = 11.334 Å
α = 90.00°, β = 90.00°, γ = 90.00°
Positions (direct):
Ca 0.000 0.000 0.000
In 0.000 0.000 0.500
Cl 0.500 0.500 0.139
Cl 0.500 0.500 0.861

---

Below is a relaxed CaInCl2 crystal, with properties calculated at the PBE-GGA level.

Calculated values
ΔE_f (raw) = -1.175 eV/atom
E = -3.28 eV/atom
Distance to the lowest polymorph of the same formula = 373 meV/atom

a = 3.826 Å, b = 4.490 Å, c = 6.254 Å
α = 90.00°, β = 90.00°, γ = 90.00°
Positions (direct):
Ca 0.000 0.000 0.000
In 0.500 0.000 0.500
Cl 0.000 0.500 0.500
Cl 0.500 0.500 0.000

---

Below is a relaxed Ca2In2Cl crystal, with properties calculated at the PBE-GGA level.

Calculated values
ΔE_f (raw) = -0.576 eV/atom
E = -2.84 eV/atom
Distance to the lowest polymorph of the same formula = 180 meV/atom

a = 9.369 Å, b = 9.369 Å, c = 9.369 Å
α = 154.12°, β = 154.12°, γ = 36.92°
Positions (direct):
Ca 0.107 0.107 0.000
Ca 0.893 0.893 0.000
In 0.250 0.750 0.500
In 0.750 0.250 0.500
Cl 0.500 0.500 0.000

---

Below is a relaxed CaInCl2 crystal, with properties calculated at the PBE-GGA level.

Calculated values
ΔE_f (raw) = -1.284 eV/atom
E = -3.39 eV/atom
Distance to the lowest polymorph of the same formula = 264 meV/atom

a = 3.919 Å, b = 3.919 Å, c = 7.683 Å
α = 90.00°, β = 90.00°, γ = 90.00°
Positions (direct):
Ca 0.000 0.000 0.000
In 0.500 0.500 0.608
Cl 0.000 0.000 0.334
Cl 0.500 0.500 0.031

---

Below is a relaxed CaIn4Cl6 crystal, with properties calculated at the PBE-GGA level.

Calculated values
ΔE_f (raw) = -1.207 eV/atom
E = -3.39 eV/atom

a = 7.651 Å, b = 7.651 Å, c = 14.031 Å
α = 100.42°, β = 100.42°, γ = 71.66°
Positions (direct):
Ca 0.195 0.805 0.500
Ca 0.805 0.195 0.000
In 0.117 0.676 0.883
In 0.240 0.671 0.190
In 0.432 0.886 0.802
In 0.441 0.981 0.072
In 0.671 0.240 0.690
In 0.676 0.117 0.383
In 0.886 0.432 0.302
In 0.981 0.441 0.572
Cl 0.003 0.078 0.847
Cl 0.055 0.329 0.125
Cl 0.078 0.003 0.347
Cl 0.286 0.507 0.366
Cl 0.290 0.587 0.648
Cl 0.329 0.055 0.625
Cl 0.507 0.286 0.866
Cl 0.587 0.290 0.148
Cl 0.607 0.817 0.247
Cl 0.817 0.607 0.747
Cl 0.827 0.845 0.015
Cl 0.845 0.827 0.515

---

Below is a relaxed CaInCl2 crystal, with properties calculated at the PBE-GGA level.

Calculated values
ΔE_f (raw) = -1.410 eV/atom
E = -3.52 eV/atom
Distance to the lowest polymorph of the same formula = 137 meV/atom

a = 10.411 Å, b = 10.411 Å, c = 10.411 Å
α = 160.18°, β = 159.38°, γ = 28.75°
Positions (direct):
Ca 0.000 0.000 0.000
In 0.757 0.257 0.500
Cl 0.094 0.594 0.500
Cl 0.441 0.441 0.000

---

Below is a relaxed Ca2In2Cl crystal, with properties calculated at the PBE-GGA level.

Calculated values
ΔE_f (raw) = -0.756 eV/atom
E = -3.02 eV/atom
Distance to the lowest polymorph of the same formula = 0 meV/atom

a = 7.612 Å, b = 7.612 Å, c = 5.229 Å
α = 90.00°, β = 90.00°, γ = 90.00°
Positions (direct):
Ca 0.171 0.329 0.000
Ca 0.329 0.829 0.000
Ca 0.671 0.171 0.000
Ca 0.829 0.671 0.000
In 0.134 0.634 0.500
In 0.366 0.134 0.500
In 0.634 0.866 0.500
In 0.866 0.366 0.500
Cl 0.000 0.000 0.000
Cl 0.500 0.500 0.000

---

Below is a relaxed CaInCl2 crystal, with properties calculated at the PBE-GGA level.

Calculated values
ΔE_f (raw) = -1.129 eV/atom
E = -3.24 eV/atom
Distance to the lowest polymorph of the same formula = 419 meV/atom

a = 6.784 Å, b = 6.784 Å, c = 6.784 Å
α = 143.73°, β = 143.73°, γ = 52.23°
Positions (direct):
Ca 0.000 0.000 0.000
In 0.750 0.250 0.500
Cl 0.250 0.750 0.500
Cl 0.500 0.500 0.000

---

Below is a relaxed CaInCl2 crystal, with properties calculated at the PBE-GGA level.

Calculated values
ΔE_f (raw) = -1.548 eV/atom
E = -3.66 eV/atom
Distance to the lowest polymorph of the same formula = 0 meV/atom

a = 10.733 Å, b = 10.733 Å, c = 10.733 Å
α = 21.13°, β = 21.13°, γ = 21.13°
Positions (direct):
Ca 0.000 0.000 0.000
In 0.500 0.500 0.500
Cl 0.381 0.381 0.381
Cl 0.619 0.619 0.619